The following is a DFT calculation (GGA-PBE) of Tl2ZnGe2 after structural relaxation.

Results
Space group = I4/mmm, No. 139
ΔH_f (0 K) = 0.3795 eV/atom
Final energy = -0.1961 Ry/atom
E above lowest polymorph = 209 meV per atom
Calculated density = 7.50 g cm⁻³
Size of the total moment = 0.0 μB per cell

Unit cell a=6.310 b=6.310 c=6.310 alpha=131.71 beta=131.71 gamma=70.68
Positions (direct):
Tl  0.250  0.750  0.500
Tl  0.750  0.250  0.500
Zn  0.000  0.000  0.000
Ge  0.381  0.381  0.000
Ge  0.619  0.619  0.000